[1]
Below is a relaxed LaScCu10 crystal, with properties calculated at the PBE level.

The spin magnetization is 0.00 μB/f.u. The total energy is -4.496 eV per atom.

It has space group Pmmm (No. 47), with a = 4.123 Å, b = 5.028 Å, c = 8.704 Å, α = 90.00°, β = 90.00° and γ = 90.00°. The asymmetric unit holds La at (0.000, 0.000, 0.000), Sc at (0.000, 0.500, 0.500), Cu at (0.000, 0.000, 0.344), Cu at (0.000, 0.500, 0.182), Cu at (0.500, 0.000, 0.500), Cu at (0.500, 0.255, 0.259) and Cu at (0.500, 0.500, 0.000).

---

[2]
Below is a relaxed DyScInCo crystal, with properties calculated at the PBE level.

The spin magnetization is 1.11 μB/f.u. The energy above the most stable polymorph in this dataset is 144 meV/atom.

It has space group F-43m (No. 216), with a = 6.982 Å, b = 6.982 Å, c = 6.982 Å, α = 90.00°, β = 90.00° and γ = 90.00°. The asymmetric unit holds Dy at (0.000, 0.000, 0.000), Sc at (0.000, 0.000, 0.500), In at (0.250, 0.250, 0.250) and Co at (0.250, 0.250, 0.750).

---

[3]
Below is a relaxed Li2AlH6 crystal, with properties calculated at the PBE level.

The spin magnetization is 0.00 μB/f.u. The energy above the most stable polymorph in this dataset is 26 meV/atom.

It has space group Fm-3m (No. 225), with a = 6.486 Å, b = 6.486 Å, c = 6.486 Å, α = 90.00°, β = 90.00° and γ = 90.00°. The asymmetric unit holds Li at (0.250, 0.250, 0.250), Al at (0.000, 0.000, 0.000) and H at (0.000, 0.000, 0.267).

---

[4]
Below is a relaxed ScAgIr4 crystal, with properties calculated at the PBE level.

The spin magnetization is 0.00 μB/f.u. The total energy is -7.636 eV per atom.

It has space group F-43m (No. 216), with a = 7.389 Å, b = 7.389 Å, c = 7.389 Å, α = 90.00°, β = 90.00° and γ = 90.00°. The asymmetric unit holds Sc at (0.000, 0.000, 0.000), Ag at (0.250, 0.250, 0.750) and Ir at (0.125, 0.125, 0.375).

---

[5]
Below is a relaxed NaMnI3 crystal, with properties calculated at the PBE level.

The spin magnetization is 5.00 μB/f.u. The energy above the most stable polymorph in this dataset is 161 meV/atom. For the formation energy from raw total energies, the calculation gives -13.05 kcal/mol of atoms.

It has space group Pm-3m (No. 221), with a = 5.760 Å, b = 5.760 Å, c = 5.760 Å, α = 90.00°, β = 90.00° and γ = 90.00°. The asymmetric unit holds Na at (0.000, 0.000, 0.000), Mn at (0.500, 0.500, 0.500) and I at (0.000, 0.500, 0.500).

---

[6]
Below is a relaxed As2PbIO8 crystal, with properties calculated at the PBE level.

The spin magnetization is 1.05 μB/f.u. For the formation energy from raw total energies, the calculation gives -17.15 kcal/mol of atoms.

It has space group R-3 (No. 148, hexagonal axes), with a = 5.0663 Å, b = 5.0663 Å, c = 24.0806 Å, α = 90.00°, β = 90.00° and γ = 120.00°. The asymmetric unit holds As at (0.0000, 0.0000, 0.2504), Pb at (0.0000, 0.0000, 0.5000), I at (0.0000, 0.0000, 0.0000), O at (0.0000, 0.0000, 0.1798) and O at (0.9995, 0.3271, 0.2731).

---

[7]
Below is a relaxed Pr2GaSnGe crystal, with properties calculated at the PBE level.

The spin magnetization is 0.00 μB/f.u. The total energy is -4.926 eV per atom.

It has space group Pmmn (No. 59, origin choice 2), with a = 4.411 Å, b = 9.127 Å, c = 6.407 Å, α = 90.00°, β = 90.00° and γ = 90.00°. The asymmetric unit holds Pr at (0.250, 0.033, 0.244), Ga at (0.250, 0.750, 0.548), Sn at (0.250, 0.250, 0.733) and Ge at (0.250, 0.750, 0.942).

---

[8]
Below is a relaxed Mg2ZnGa crystal, with properties calculated at the PBE level.

The spin magnetization is 0.00 μB/f.u. The total energy is -1.999 eV per atom.

It has space group Amm2 (No. 38), with a = 4.275 Å, b = 3.444 Å, c = 10.353 Å, α = 90.00°, β = 90.00° and γ = 90.00°. The asymmetric unit holds Mg at (0.000, 0.000, 0.000), Mg at (0.500, 0.000, 0.318), Zn at (0.500, 0.000, 0.585) and Ga at (0.000, 0.000, 0.730).

---

[9]
Below is a relaxed LaHOs2 crystal, with properties calculated at the PBE level.

The spin magnetization is 0.00 μB/f.u. The energy above the most stable polymorph in this dataset is 1341 meV/atom.

It has space group Fm-3m (No. 225), with a = 6.361 Å, b = 6.361 Å, c = 6.361 Å, α = 90.00°, β = 90.00° and γ = 90.00°. The asymmetric unit holds La at (0.000, 0.000, 0.000), H at (0.000, 0.000, 0.500) and Os at (0.250, 0.250, 0.250).

---

[10]
Below is a relaxed SiAgF2 crystal, with properties calculated at the PBE level.

The spin magnetization is 0.00 μB/f.u. The energy above the most stable polymorph in this dataset is 537 meV/atom. For the formation energy from raw total energies, the calculation gives -18.93 kcal/mol of atoms.

It has space group I-42d (No. 122), with a = 3.963 Å, b = 3.963 Å, c = 14.776 Å, α = 90.00°, β = 90.00° and γ = 90.00°. The asymmetric unit holds Si at (0.000, 0.000, 0.000), Ag at (0.000, 0.000, 0.500) and F at (0.198, 0.250, 0.125).

---

[11]
Below is a relaxed CrNi2HIr crystal, with properties calculated at the PBE level.

The spin magnetization is 2.09 μB/f.u. The energy above the most stable polymorph in this dataset is 0 meV/atom.

It has space group P4/mmm (No. 123), with a = 3.641 Å, b = 3.641 Å, c = 3.834 Å, α = 90.00°, β = 90.00° and γ = 90.00°. The asymmetric unit holds Cr at (0.000, 0.000, 0.000), Ni at (0.000, 0.500, 0.500), H at (0.000, 0.000, 0.500) and Ir at (0.500, 0.500, 0.000).

---

[12]
Below is a relaxed Ca2Hg2Bi crystal, with properties calculated at the PBE level.

The spin magnetization is 0.00 μB/f.u. The energy above the most stable polymorph in this dataset is 106 meV/atom.

It has space group P4/mbm (No. 127), with a = 8.772 Å, b = 8.772 Å, c = 3.902 Å, α = 90.00°, β = 90.00° and γ = 90.00°. The asymmetric unit holds Ca at (0.165, 0.335, 0.000), Hg at (0.133, 0.633, 0.500) and Bi at (0.000, 0.000, 0.000).

---

[13]
Below is a relaxed Sr4Pb2O crystal, with properties calculated at the PBE level.

The spin magnetization is 0.00 μB/f.u. The energy above the most stable polymorph in this dataset is 0 meV/atom. For the formation energy from raw total energies, the calculation gives -25.31 kcal/mol of atoms.

It has space group Cmmm (No. 65), with a = 5.373 Å, b = 15.731 Å, c = 5.076 Å, α = 90.00°, β = 90.00° and γ = 90.00°. The asymmetric unit holds Sr at (0.000, 0.000, 0.000), Sr at (0.000, 0.168, 0.500), Sr at (0.000, 0.500, 0.500), Pb at (0.000, 0.344, 0.000) and O at (0.000, 0.000, 0.500).

---

[14]
Below is a relaxed ZrMoSe2 crystal, with properties calculated at the PBE level.

The spin magnetization is 0.00 μB/f.u. The energy above the most stable polymorph in this dataset is 173 meV/atom. For the formation energy from raw total energies, the calculation gives -9.64 kcal/mol of atoms.

It has space group C2/m (No. 12), with a = 7.819 Å, b = 3.353 Å, c = 5.819 Å, α = 90.00°, β = 103.43° and γ = 90.00°. The asymmetric unit holds Zr at (0.000, 0.000, 0.000), Mo at (0.000, 0.500, 0.500) and Se at (0.244, 0.000, 0.723).

---

[15]
Below is a relaxed Pr2YSc2 crystal, with properties calculated at the PBE level.

The spin magnetization is 0.00 μB/f.u. The energy above the most stable polymorph in this dataset is 267 meV/atom.

It has space group Cmcm (No. 63), with a = 6.620 Å, b = 15.993 Å, c = 6.117 Å, α = 90.00°, β = 90.00° and γ = 90.00°. The asymmetric unit holds Pr at (0.000, 0.105, 0.250), Pr at (0.000, 0.323, 0.750), Y at (0.000, 0.500, 0.000) and Sc at (0.237, 0.331, 0.250).

---

[16]
Below is a relaxed RbNiSN2 crystal, with properties calculated at the PBE level.

The spin magnetization is 7.01 μB/f.u. The energy above the most stable polymorph in this dataset is 1647 meV/atom. For the formation energy from raw total energies, the calculation gives 63.37 kcal/mol of atoms.

It has space group P4/mmm (No. 123), with a = 5.051 Å, b = 5.051 Å, c = 6.227 Å, α = 90.00°, β = 90.00° and γ = 90.00°. The asymmetric unit holds Rb at (0.000, 0.000, 0.000), Ni at (0.500, 0.500, 0.500), S at (0.000, 0.000, 0.500) and N at (0.000, 0.500, 0.000).

---

[17]
Below is a relaxed MgPa2P2N6 crystal, with properties calculated at the PBE level.

The spin magnetization is 0.00 μB/f.u. For the formation energy from raw total energies, the calculation gives -20.86 kcal/mol of atoms.

It has space group P-3 (No. 147), with a = 5.6570 Å, b = 5.6570 Å, c = 5.8719 Å, α = 90.00°, β = 90.00° and γ = 120.00°. The asymmetric unit holds Mg at (0.0000, 0.0000, 0.0000), Pa at (0.3333, 0.6667, 0.8498), P at (0.3333, 0.6667, 0.3241) and N at (0.0805, 0.3836, 0.1908).

---

[18]
Below is a relaxed Ac5Ga2Ge2 crystal, with properties calculated at the PBE level.

The spin magnetization is 0.00 μB/f.u. The total energy is -4.424 eV per atom.

It has space group Ima2 (No. 46), with a = 17.897 Å, b = 9.453 Å, c = 7.055 Å, α = 90.00°, β = 90.00° and γ = 90.00°. The asymmetric unit holds Ac at (0.065, 0.199, 0.000), Ac at (0.149, 0.657, 0.777), Ac at (0.250, 0.041, 0.725), Ga at (0.000, 0.000, 0.343), Ga at (0.250, 0.128, 0.201) and Ge at (0.070, 0.553, 0.173).

---

[19]
Below is a relaxed TaMo2Se6 crystal, with properties calculated at the PBE level.

The spin magnetization is 0.00 μB/f.u. The energy above the most stable polymorph in this dataset is 0 meV/atom. For the formation energy from raw total energies, the calculation gives -14.56 kcal/mol of atoms.

It has space group C2/m (No. 12), with a = 17.402 Å, b = 3.379 Å, c = 8.141 Å, α = 90.00°, β = 115.67° and γ = 90.00°. The asymmetric unit holds Ta at (0.000, 0.000, 0.000), Mo at (0.184, 0.500, 0.376), Se at (0.011, 0.500, 0.249), Se at (0.164, 0.000, 0.110) and Se at (0.167, 0.000, 0.591).

---

[20]
Below is a relaxed Nd2Pd3Au9 crystal, with properties calculated at the PBE level.

The spin magnetization is 0.00 μB/f.u. The total energy is -4.322 eV per atom.

It has space group C2/c (No. 15), with a = 14.541 Å, b = 7.784 Å, c = 11.161 Å, α = 90.00°, β = 117.97° and γ = 90.00°. The asymmetric unit holds Nd at (0.179, 0.065, 0.236), Pd at (0.091, 0.225, 0.524), Pd at (0.250, 0.250, 0.000), Au at (0.000, 0.285, 0.250), Au at (0.055, 0.084, 0.898), Au at (0.098, 0.358, 0.749), Au at (0.098, 0.406, 0.050) and Au at (0.217, 0.403, 0.434).